(1)
First-principles (PBE) data for a relaxed Nd2GdMg3TlIn2 crystal, as listed in OQMD via LeMat-Bulk.

Unit cell a=4.7327 b=7.6526 c=7.6526 alpha=119.42 beta=90.00 gamma=90.00
With the nearest neighbours (Å) after each atom.
Atoms (fractional coordinates):
1 Nd 0.0000 0.2146 0.7854  4 In 3.30, 1 Tl 3.31, 2 Mg 3.44
2 Nd 0.0000 0.7854 0.2146  4 In 3.30, 1 Tl 3.31, 2 Mg 3.44
3 Gd 0.0000 0.3569 0.3569  4 In 3.26, 1 Tl 3.26, 2 Mg 3.48
4 Mg 0.5000 0.0261 0.0261  2 In 2.95, 2 Tl 3.04, 2 Mg 3.23
5 Mg 0.5000 0.5412 0.7848  2 In 2.97-2.98, 2 Tl 3.00, 2 Mg 3.22-3.23
6 Mg 0.5000 0.7848 0.5412  2 In 2.97-2.98, 2 Tl 3.00, 2 Mg 3.22-3.23
7 Tl 0.0000 0.7792 0.7792  6 Mg 3.00-3.04, 1 Gd 3.26, 2 Nd 3.31
8 In 0.5000 0.1214 0.4496  3 Mg 2.95-2.98, 2 Gd 3.26, 4 Nd 3.30
9 In 0.5000 0.4496 0.1214  3 Mg 2.95-2.98, 2 Gd 3.26, 4 Nd 3.30

- total magnetic moment (μB per formula unit) = 0.0

(2)
First-principles (PBE) data for a relaxed SrAu2F8 crystal, as listed in OQMD via LeMat-Bulk.

Unit cell a=6.6527 b=6.6527 c=6.6527 alpha=130.76 beta=130.76 gamma=72.19
With the nearest neighbours (Å) after each atom.
Atoms (fractional coordinates):
1 Sr 0.0000 0.0000 0.0000  8 F 2.45
2 Au 0.2500 0.7500 0.5000  4 F 1.96
3 Au 0.7500 0.2500 0.5000  4 F 1.96
4 F 0.0591 0.5524 0.8559  1 Au 1.96
5 F 0.2032 0.0591 0.5067  1 Au 1.96
6 F 0.3035 0.4476 0.5067  1 Au 1.96
7 F 0.4476 0.9409 0.1441  1 Au 1.96
8 F 0.5524 0.6965 0.4933  1 Au 1.96
9 F 0.6965 0.2032 0.1441  1 Au 1.96
10 F 0.7968 0.3035 0.8559  1 Au 1.96
11 F 0.9409 0.7968 0.4933  1 Au 1.96

- relative energy among the computed polymorphs (meV/atom) = 0

(3)
First-principles (PBE) data for a relaxed NdPuOs crystal, as listed in OQMD via LeMat-Bulk.

Unit cell a=7.7299 b=4.3594 c=8.6234 alpha=90.00 beta=90.00 gamma=90.00
With the nearest neighbours (Å) after each atom.
Atoms (fractional coordinates):
1 Nd 0.0208 0.2500 0.1718  5 Os 3.19-3.24, 5 Pu 3.37-3.55
2 Nd 0.4792 0.7500 0.6718  5 Os 3.19-3.24, 5 Pu 3.37-3.55
3 Nd 0.5208 0.2500 0.3282  5 Os 3.19-3.24, 5 Pu 3.37-3.55
4 Nd 0.9792 0.7500 0.8282  5 Os 3.19-3.24, 5 Pu 3.37-3.55
5 Pu 0.1505 0.2500 0.5720  4 Os 2.77-2.89
6 Pu 0.3495 0.7500 0.0720  4 Os 2.77-2.89
7 Pu 0.6505 0.2500 0.9280  4 Os 2.77-2.89
8 Pu 0.8495 0.7500 0.4280  4 Os 2.77-2.89
9 Os 0.2199 0.7500 0.3843  4 Pu 2.77-2.89
10 Os 0.2801 0.2500 0.8843  4 Pu 2.77-2.89
11 Os 0.7199 0.7500 0.1157  4 Pu 2.77-2.89
12 Os 0.7801 0.2500 0.6157  4 Pu 2.77-2.89

- relative energy among the computed polymorphs (meV/atom) = 0
- total magnetic moment (μB per formula unit) = 5.2

(4)
First-principles (PBE) data for a relaxed HoTm2Al3Cu2Pd crystal, as listed in OQMD via LeMat-Bulk.

Unit cell a=4.0600 b=6.9693 c=6.9693 alpha=119.98 beta=90.00 gamma=90.00
With the nearest neighbours (Å) after each atom.
Atoms (fractional coordinates):
1 Ho 0.0000 0.0000 0.0000  4 Cu 2.93, 1 Pd 2.93, 6 Al 3.12-3.25
2 Tm 0.0000 0.1640 0.5820  1 Pd 2.90, 4 Cu 2.91, 6 Al 3.12-3.25
3 Tm 0.0000 0.5820 0.1640  1 Pd 2.90, 4 Cu 2.91, 6 Al 3.12-3.25
4 Al 0.5000 0.3402 0.3402  2 Pd 2.63, 2 Cu 2.71, 2 Al 2.91
5 Al 0.5000 0.5810 0.8227  2 Pd 2.64, 2 Cu 2.68-2.71, 2 Al 2.91-2.92
6 Al 0.5000 0.8227 0.5810  2 Pd 2.64, 2 Cu 2.68-2.71, 2 Al 2.91-2.92
7 Cu 0.5000 0.2501 0.9140  3 Al 2.68-2.71, 4 Tm 2.91, 2 Ho 2.93
8 Cu 0.5000 0.9140 0.2501  3 Al 2.68-2.71, 4 Tm 2.91, 2 Ho 2.93
9 Pd 0.0000 0.5797 0.5797  6 Al 2.63-2.64, 2 Tm 2.90, 1 Ho 2.93

- total magnetic moment (μB per formula unit) = 0.0

(5)
First-principles (PBE) data for a relaxed Ta2Co crystal, as listed in OQMD via LeMat-Bulk.

Unit cell a=9.6013 b=9.6013 c=5.0365 alpha=90.00 beta=90.00 gamma=90.00
With the nearest neighbours (Å) after each atom.
Atoms (fractional coordinates):
1 Ta 0.0361 0.3715 0.0000  2 Ta 2.56-2.65, 4 Co 2.76-2.78
2 Ta 0.1043 0.1043 0.0000  3 Ta 2.65-2.83, 6 Co 2.89-2.92
3 Ta 0.1285 0.5361 0.5000  2 Ta 2.56-2.65, 4 Co 2.76-2.78
4 Ta 0.1786 0.8214 0.2499  2 Ta 2.52, 5 Co 2.73-2.80
5 Ta 0.1786 0.8214 0.7501  2 Ta 2.52, 5 Co 2.73-2.80
6 Ta 0.3214 0.3214 0.2501  2 Ta 2.52, 5 Co 2.73-2.80
7 Ta 0.3214 0.3214 0.7499  2 Ta 2.52, 5 Co 2.73-2.80
8 Ta 0.3715 0.0361 0.0000  2 Ta 2.56-2.65, 4 Co 2.76-2.78
9 Ta 0.3957 0.6043 0.5000  3 Ta 2.65-2.83, 6 Co 2.89-2.92
10 Ta 0.4639 0.8715 0.5000  2 Ta 2.56-2.65, 4 Co 2.76-2.78
11 Ta 0.5361 0.1285 0.5000  2 Ta 2.56-2.65, 4 Co 2.76-2.78
12 Ta 0.6043 0.3957 0.5000  3 Ta 2.65-2.83, 6 Co 2.89-2.92
13 Ta 0.6285 0.9639 0.0000  2 Ta 2.56-2.65, 4 Co 2.76-2.78
14 Ta 0.6786 0.6786 0.2501  2 Ta 2.52, 5 Co 2.73-2.80
15 Ta 0.6786 0.6786 0.7499  2 Ta 2.52, 5 Co 2.73-2.80
16 Ta 0.8214 0.1786 0.2499  2 Ta 2.52, 5 Co 2.73-2.80
17 Ta 0.8214 0.1786 0.7501  2 Ta 2.52, 5 Co 2.73-2.80
18 Ta 0.8715 0.4639 0.5000  2 Ta 2.56-2.65, 4 Co 2.76-2.78
19 Ta 0.8957 0.8957 0.0000  3 Ta 2.65-2.83, 6 Co 2.89-2.92
20 Ta 0.9639 0.6285 0.0000  2 Ta 2.56-2.65, 4 Co 2.76-2.78
21 Co 0.0000 0.0000 0.5000  4 Co 2.53, 4 Ta 2.73
22 Co 0.0697 0.2544 0.5000  2 Co 2.51-2.53, 8 Ta 2.76-2.80
23 Co 0.2456 0.5697 0.0000  2 Co 2.51-2.53, 8 Ta 2.76-2.80
24 Co 0.2544 0.0697 0.5000  2 Co 2.51-2.53, 8 Ta 2.76-2.80
25 Co 0.4303 0.7544 0.0000  2 Co 2.51-2.53, 8 Ta 2.76-2.80
26 Co 0.5000 0.5000 0.0000  4 Co 2.53, 4 Ta 2.73
27 Co 0.5697 0.2456 0.0000  2 Co 2.51-2.53, 8 Ta 2.76-2.80
28 Co 0.7456 0.9303 0.5000  2 Co 2.51-2.53, 8 Ta 2.76-2.80
29 Co 0.7544 0.4303 0.0000  2 Co 2.51-2.53, 8 Ta 2.76-2.80
30 Co 0.9303 0.7456 0.5000  2 Co 2.51-2.53, 8 Ta 2.76-2.80

- total magnetic moment (μB per formula unit) = 0.0

(6)
First-principles (PBE) data for a relaxed KNiGeSe3 crystal, as listed in OQMD via LeMat-Bulk.

Unit cell a=8.4241 b=3.7665 c=10.1985 alpha=90.00 beta=110.91 gamma=90.00
With the nearest neighbours (Å) after each atom.
Atoms (fractional coordinates):
1 K 0.2185 0.2500 0.2545  7 Se 3.37-3.75, 1 Ge 3.43, 2 K 3.77
2 K 0.7815 0.7500 0.7455  7 Se 3.37-3.75, 1 Ge 3.43, 2 K 3.77
3 Ni 0.3685 0.7500 0.8474  6 Se 2.40-2.55
4 Ni 0.6315 0.2500 0.1526  6 Se 2.40-2.55
5 Ge 0.1276 0.2500 0.5567  3 Se 2.46-2.58
6 Ge 0.8724 0.7500 0.4433  3 Se 2.46-2.58
7 Se 0.1511 0.2500 0.8045  1 Ge 2.46, 2 Ni 2.55
8 Se 0.3491 0.7500 0.5941  1 Ni 2.53, 2 Ge 2.58
9 Se 0.4281 0.7500 0.0955  3 Ni 2.40-2.47
10 Se 0.5719 0.2500 0.9045  3 Ni 2.40-2.47
11 Se 0.6509 0.2500 0.4059  1 Ni 2.53, 2 Ge 2.58
12 Se 0.8489 0.7500 0.1955  1 Ge 2.46, 2 Ni 2.55

- total magnetic moment (μB per formula unit) = 1.0

(7)
First-principles (PBE) data for a relaxed Li2Hf2Tl2PdPt crystal, as listed in OQMD via LeMat-Bulk.

Unit cell a=4.6290 b=4.6290 c=6.5522 alpha=90.00 beta=90.00 gamma=90.00
With the nearest neighbours (Å) after each atom.
Atoms (fractional coordinates):
1 Li 0.0000 0.0000 0.0000  4 Hf 2.82, 4 Tl 2.86
2 Li 0.5000 0.5000 0.5000  4 Tl 2.82, 4 Hf 2.85
3 Hf 0.0000 0.5000 0.2468  2 Pt 2.82, 4 Li 2.82-2.85, 2 Pd 2.85
4 Hf 0.5000 0.0000 0.7532  4 Li 2.82-2.85, 2 Pt 2.82, 2 Pd 2.85
5 Tl 0.0000 0.5000 0.7447  4 Li 2.82-2.86, 2 Pd 2.82, 2 Pt 2.86
6 Tl 0.5000 0.0000 0.2553  2 Pd 2.82, 4 Li 2.82-2.86, 2 Pt 2.86
7 Pd 0.0000 0.0000 0.5000  4 Tl 2.82, 4 Hf 2.85
8 Pt 0.5000 0.5000 0.0000  4 Hf 2.82, 4 Tl 2.86

- total magnetic moment (μB per formula unit) = 0.0

(8)
First-principles (PBE) data for a relaxed NaNdNiTe3 crystal, as listed in OQMD via LeMat-Bulk.

Unit cell a=8.0018 b=8.0018 c=11.1006 alpha=90.00 beta=90.00 gamma=149.48
With the nearest neighbours (Å) after each atom.
Atoms (fractional coordinates):
1 Na 0.2479 0.7521 0.7500  6 Te 3.24-3.26
2 Na 0.7521 0.2479 0.2500  6 Te 3.24-3.26
3 Nd 0.5000 0.5000 0.0000  6 Te 3.09-3.15
4 Nd 0.5000 0.5000 0.5000  6 Te 3.09-3.15
5 Ni 0.0125 0.9875 0.2500  4 Te 2.56-2.62
6 Ni 0.9875 0.0125 0.7500  4 Te 2.56-2.62
7 Te 0.1356 0.8644 0.0953  1 Ni 2.56
8 Te 0.1356 0.8644 0.4047  1 Ni 2.56
9 Te 0.4113 0.5887 0.2500  2 Ni 2.62
10 Te 0.5887 0.4113 0.7500  2 Ni 2.62
11 Te 0.8644 0.1356 0.5953  1 Ni 2.56
12 Te 0.8644 0.1356 0.9047  1 Ni 2.56

- total magnetic moment (μB per formula unit) = 0.0

(9)
First-principles (PBE) data for a relaxed ErTm2Zn3CuIr2 crystal, as listed in OQMD via LeMat-Bulk.

Unit cell a=3.7694 b=7.1414 c=7.1414 alpha=120.06 beta=90.00 gamma=90.00
With the nearest neighbours (Å) after each atom.
Atoms (fractional coordinates):
1 Er 0.0000 0.0000 0.0000  4 Ir 2.87, 1 Cu 2.94, 6 Zn 3.08-3.18
2 Tm 0.0000 0.4112 0.8223  4 Ir 2.86, 1 Cu 2.93, 6 Zn 3.08-3.18
3 Tm 0.0000 0.8223 0.4112  4 Ir 2.86, 1 Cu 2.93, 6 Zn 3.08-3.18
4 Zn 0.5000 0.1635 0.4117  2 Cu 2.59, 2 Ir 2.73-2.74
5 Zn 0.5000 0.4117 0.1635  2 Cu 2.59, 2 Ir 2.73-2.74
6 Zn 0.5000 0.6587 0.6587  2 Cu 2.58, 2 Ir 2.74
7 Cu 0.0000 0.4119 0.4119  6 Zn 2.58-2.59
8 Ir 0.5000 0.0782 0.7436  3 Zn 2.73-2.74, 4 Tm 2.86, 2 Er 2.87
9 Ir 0.5000 0.7436 0.0782  3 Zn 2.73-2.74, 4 Tm 2.86, 2 Er 2.87

- total magnetic moment (μB per formula unit) = 0.0

(10)
First-principles (PBE) data for a relaxed RbNbAgTeS2 crystal, as listed in OQMD via LeMat-Bulk.

Unit cell a=8.4839 b=8.4839 c=10.5398 alpha=90.00 beta=90.00 gamma=154.90
With the nearest neighbours (Å) after each atom.
Atoms (fractional coordinates):
1 Rb 0.2221 0.7779 0.7500  4 S 3.48, 2 Ag 3.56, 2 Te 3.66, 2 Rb 3.69
2 Rb 0.7779 0.2221 0.2500  4 S 3.48, 2 Ag 3.56, 2 Te 3.66, 2 Rb 3.69
3 Nb 0.0000 0.0000 0.0000  4 S 2.55
4 Nb 0.0000 0.0000 0.5000  4 S 2.55
5 Ag 0.4615 0.5385 0.2500  2 S 2.44
6 Ag 0.5385 0.4615 0.7500  2 S 2.44
7 Te 0.0870 0.9130 0.2500  2 Ag 2.78, 2 Nb 3.00
8 Te 0.9130 0.0870 0.7500  2 Ag 2.78, 2 Nb 3.00
9 S 0.3970 0.6030 0.0417  1 Ag 2.44, 2 Nb 2.55
10 S 0.3970 0.6030 0.4583  1 Ag 2.44, 2 Nb 2.55
11 S 0.6030 0.3970 0.5417  1 Ag 2.44, 2 Nb 2.55
12 S 0.6030 0.3970 0.9583  1 Ag 2.44, 2 Nb 2.55

- total magnetic moment (μB per formula unit) = 0.6

(11)
First-principles (PBE) data for a relaxed Ho3BiP2 crystal, as listed in OQMD via LeMat-Bulk.

Unit cell a=4.0489 b=4.0489 c=10.5475 alpha=90.00 beta=90.00 gamma=120.00
With the nearest neighbours (Å) after each atom.
Atoms (fractional coordinates):
1 Ho 0.0000 0.0000 0.0000  6 P 2.85
2 Ho 0.3333 0.6667 0.2967  3 P 2.78
3 Ho 0.6667 0.3333 0.7033  3 P 2.78
4 Bi 0.0000 0.0000 0.5000  6 Ho 3.17
5 P 0.3333 0.6667 0.8459  6 Ho 2.78-2.85
6 P 0.6667 0.3333 0.1541  6 Ho 2.78-2.85

- total magnetic moment (μB per formula unit) = 0.0

(12)
First-principles (PBE) data for a relaxed RbHoSO crystal, as listed in OQMD via LeMat-Bulk.

Unit cell a=7.8299 b=7.3065 c=6.4887 alpha=90.00 beta=104.13 gamma=90.00
With the nearest neighbours (Å) after each atom.
Atoms (fractional coordinates):
1 Rb 0.0814 0.2412 0.0071  2 O 2.88-3.11, 1 S 3.23
2 Rb 0.0814 0.2588 0.5071  2 O 2.88-3.11, 1 S 3.23
3 Rb 0.9186 0.7412 0.4929  2 O 2.88-3.11, 1 S 3.23
4 Rb 0.9186 0.7588 0.9929  2 O 2.88-3.11, 1 S 3.23
5 Ho 0.4775 0.6266 0.2732  3 O 2.24-2.27
6 Ho 0.4775 0.8734 0.7732  3 O 2.24-2.27
7 Ho 0.5225 0.1266 0.2268  3 O 2.24-2.27
8 Ho 0.5225 0.3734 0.7268  3 O 2.24-2.27
9 S 0.2629 0.5944 0.8507  3 Ho 2.76-2.86
10 S 0.2629 0.9056 0.3507  3 Ho 2.76-2.86
11 S 0.7371 0.0944 0.6493  3 Ho 2.76-2.86
12 S 0.7371 0.4056 0.1493  3 Ho 2.76-2.86
13 O 0.3972 0.1456 0.8783  3 Ho 2.24-2.27
14 O 0.3972 0.3544 0.3783  3 Ho 2.24-2.27
15 O 0.6028 0.6456 0.6217  3 Ho 2.24-2.27
16 O 0.6028 0.8544 0.1217  3 Ho 2.24-2.27

- relative energy among the computed polymorphs (meV/atom) = 0
- total magnetic moment (μB per formula unit) = 0.0

Results for electronic total energy: -0.123 -0.145 -0.374 -0.174 -0.382 -0.149 -0.198 -0.159 -0.181 -0.177 -0.224 -0.218 (in Ha/atom, following the order of the records).